[1]
Material: Pr2Dy4TmMg
Method: DFT, GGA-PBE
State: optimized geometry

Geometry as CIF:
```
data_Pr2Dy4TmMg
_chemical_formula_sum 'Pr2 Dy4 Tm1 Mg1'
_cell_length_a 4.983
_cell_length_b 4.998
_cell_length_c 10.137
_cell_angle_alpha 90.00
_cell_angle_beta 90.00
_cell_angle_gamma 90.00
_space_group_name_H-M_alt 'P m m m'
_space_group_IT_number 47
loop_
_space_group_symop_operation_xyz
'x,y,z'
'-x,-y,-z'
'-x,-y,z'
'x,y,-z'
'x,-y,-z'
'-x,y,z'
'-x,y,-z'
'x,-y,z'
loop_
_atom_site_label
_atom_site_type_symbol
_atom_site_fract_x
_atom_site_fract_y
_atom_site_fract_z
_atom_site_occupancy
Pr1 Pr 0.000 0.000 0.000 1
Pr2 Pr 0.500 0.500 0.500 1
Dy1 Dy 0.000 0.500 0.250 1
Dy2 Dy 0.500 0.000 0.250 1
Tm1 Tm 0.000 0.000 0.500 1
Mg1 Mg 0.500 0.500 0.000 1
```

DOS(E_F) in states/eV per atom: 1.621
M_tot in Bohr magnetons per cell: 0.00
Energy of formation from the pure elements in meV/atom: 32
Total energy in eV per atom: -4.2223

[2]
Material: Tl3Cd12Sb5
Method: DFT, GGA-PBE
State: optimized geometry

Geometry as CIF:
```
data_Tl3Cd12Sb5
_chemical_formula_sum 'Tl24 Cd96 Sb40'
_cell_length_a 17.108
_cell_length_b 17.108
_cell_length_c 17.108
_cell_angle_alpha 90.00
_cell_angle_beta 90.00
_cell_angle_gamma 90.00
_space_group_name_H-M_alt 'I a -3 d'
_space_group_IT_number 230
_space_group_name_Hall '-I 4bd 2c 3'
loop_
_atom_site_label
_atom_site_type_symbol
_atom_site_fract_x
_atom_site_fract_y
_atom_site_fract_z
_atom_site_occupancy
Tl1 Tl 0.000 0.250 0.125 1
Cd1 Cd 0.025 0.081 0.649 1
Sb1 Sb 0.000 0.000 0.000 1
Sb2 Sb 0.000 0.250 0.375 1
```

DOS(E_F) in states/eV per atom: 0.320
Formation energy from raw total energies in eV per atom: 0.088
M_tot in Bohr magnetons per cell: 0.00
Total energy in eV per atom: -1.8466

[3]
Material: Pm5Pd3Au12
Method: DFT, GGA-PBE
State: optimized geometry

Geometry as CIF:
```
data_Pm5Pd3Au12
_chemical_formula_sum 'Pm40 Pd24 Au96'
_cell_length_a 16.367
_cell_length_b 16.367
_cell_length_c 16.367
_cell_angle_alpha 90.00
_cell_angle_beta 90.00
_cell_angle_gamma 90.00
_space_group_name_H-M_alt 'I a -3 d'
_space_group_IT_number 230
_space_group_name_Hall '-I 4bd 2c 3'
loop_
_atom_site_label
_atom_site_type_symbol
_atom_site_fract_x
_atom_site_fract_y
_atom_site_fract_z
_atom_site_occupancy
Pm1 Pm 0.000 0.000 0.000 1
Pm2 Pm 0.000 0.250 0.375 1
Pd1 Pd 0.000 0.250 0.125 1
Au1 Au 0.010 0.087 0.652 1
```

DOS(E_F) in states/eV per atom: 0.529
M_tot in Bohr magnetons per cell: 0.00
Energy of formation from the pure elements in meV/atom: -137
Total energy in eV per atom: -4.0701

[4]
Material: Cs2Ag2Rh
Method: DFT, GGA-PBE
State: optimized geometry

Geometry as CIF:
```
data_Cs2Ag2Rh
_chemical_formula_sum 'Cs4 Ag4 Rh2'
_cell_length_a 7.188
_cell_length_b 7.188
_cell_length_c 5.892
_cell_angle_alpha 90.00
_cell_angle_beta 90.00
_cell_angle_gamma 90.00
_space_group_name_H-M_alt 'P 4/m b m'
_space_group_IT_number 127
_space_group_name_Hall '-P 4 2ab'
loop_
_atom_site_label
_atom_site_type_symbol
_atom_site_fract_x
_atom_site_fract_y
_atom_site_fract_z
_atom_site_occupancy
Cs1 Cs 0.181 0.319 0.000 1
Ag1 Ag 0.142 0.642 0.500 1
Rh1 Rh 0.000 0.000 0.500 1
```

DOS(E_F) in states/eV per atom: 0.679
M_tot in Bohr magnetons per cell: 0.16
Energy of formation from the pure elements in meV/atom: 440
Total energy in eV per atom: -2.5123

[5]
Material: Y3HfRe
Method: DFT, GGA-PBE
State: optimized geometry

Geometry as CIF:
```
data_Y3HfRe
_chemical_formula_sum 'Y3 Hf1 Re1'
_cell_length_a 5.352
_cell_length_b 5.352
_cell_length_c 5.352
_cell_angle_alpha 90.00
_cell_angle_beta 90.00
_cell_angle_gamma 90.00
_space_group_name_H-M_alt 'P m -3 m'
_space_group_IT_number 221
_space_group_name_Hall '-P 4 2 3'
loop_
_atom_site_label
_atom_site_type_symbol
_atom_site_fract_x
_atom_site_fract_y
_atom_site_fract_z
_atom_site_occupancy
Y1 Y 0.000 0.000 0.500 1
Hf1 Hf 0.500 0.500 0.500 1
Re1 Re 0.000 0.000 0.000 1
```

DOS(E_F) in states/eV per atom: 1.197
M_tot in Bohr magnetons per cell: 1.44
Energy of formation from the pure elements in meV/atom: 673
Total energy in eV per atom: -7.6861

[6]
Material: CdGa4Se7
Method: DFT, GGA-PBE
State: optimized geometry

Geometry as CIF:
```
data_CdGa4Se7
_chemical_formula_sum 'Cd2 Ga8 Se14'
_cell_length_a 15.989
_cell_length_b 6.829
_cell_length_c 6.555
_cell_angle_alpha 90.00
_cell_angle_beta 90.00
_cell_angle_gamma 90.00
_space_group_name_H-M_alt 'P m n 21'
_space_group_IT_number 31
loop_
_space_group_symop_operation_xyz
'x,y,z'
'-x+1/2,-y,z+1/2'
'-x,y,z'
'x+1/2,-y,z+1/2'
loop_
_atom_site_label
_atom_site_type_symbol
_atom_site_fract_x
_atom_site_fract_y
_atom_site_fract_z
_atom_site_occupancy
Cd1 Cd 0.000 0.240 0.000 1
Ga1 Ga 0.126 0.344 0.466 1
Ga2 Ga 0.240 0.825 0.458 1
Se1 Se 0.000 0.144 0.387 1
Se2 Se 0.115 0.673 0.345 1
Se3 Se 0.139 0.365 0.841 1
Se4 Se 0.247 0.832 0.843 1
```

Formation energy from raw total energies in eV per atom: -0.557
M_tot in Bohr magnetons per cell: 0.00
Total energy in eV per atom: -3.6748

[7]
Material: Li3P
Method: DFT, GGA-PBE
State: optimized geometry

Geometry as CIF:
```
data_Li3P
_chemical_formula_sum 'Li3 P1'
_cell_length_a 2.9030
_cell_length_b 2.9030
_cell_length_c 9.1174
_cell_angle_alpha 90.00
_cell_angle_beta 90.00
_cell_angle_gamma 120.00
_space_group_name_H-M_alt 'P -6 m 2'
_space_group_IT_number 187
_space_group_name_Hall 'P -6 2'
loop_
_atom_site_label
_atom_site_type_symbol
_atom_site_fract_x
_atom_site_fract_y
_atom_site_fract_z
_atom_site_occupancy
Li1 Li 0.0000 0.0000 0.0000 1
Li2 Li 0.3333 0.6667 0.2919 1
P1 P 0.0000 0.0000 0.5000 1
```

DOS(E_F) in states/eV per atom: 0.070
M_tot in Bohr magnetons per cell: 0.00
Energy of formation from the pure elements in meV/atom: -156
Total energy in eV per atom: -2.9437

[8]
Material: CaAcPrZn
Method: DFT, GGA-PBE
State: optimized geometry

Geometry as CIF:
```
data_CaAcPrZn
_chemical_formula_sum 'Ca4 Ac4 Pr4 Zn4'
_cell_length_a 8.072
_cell_length_b 8.072
_cell_length_c 8.072
_cell_angle_alpha 90.00
_cell_angle_beta 90.00
_cell_angle_gamma 90.00
_space_group_name_H-M_alt 'F -4 3 m'
_space_group_IT_number 216
_space_group_name_Hall 'F -4 2 3'
loop_
_atom_site_label
_atom_site_type_symbol
_atom_site_fract_x
_atom_site_fract_y
_atom_site_fract_z
_atom_site_occupancy
Ca1 Ca 0.000 0.000 0.000 1
Ac1 Ac 0.250 0.250 0.250 1
Pr1 Pr 0.250 0.250 0.750 1
Zn1 Zn 0.000 0.000 0.500 1
```

DOS(E_F) in states/eV per atom: 1.122
M_tot in Bohr magnetons per cell: 0.00
Energy of formation from the pure elements in meV/atom: 44
Total energy in eV per atom: -2.9973